20
Lattice="5.254 0.000 0.000 0.000 5.588 0.000 -5.213 0.000 7.568" Properties=species:S:1:pos:R:3 comment="Dy2CrFeO6, optimized geometry, DFT GGA+U" volume_a3_per_fu=111.1 spacegroup="No. 14" dft_energy_ev_per_atom=-7.74 rho_g_cm3=7.90 pbc="T T T"
Dy -0.097 0.398 1.888
Dy -2.704 2.396 5.673
Dy 2.744 3.192 1.896
Dy 0.138 5.189 5.680
Cr 2.627 0.000 0.000
Cr 0.020 2.794 3.784
Fe -2.607 0.000 3.784
Fe 0.000 2.794 0.000
O -4.211 1.104 7.143
O -1.604 1.690 3.359
O -3.611 3.884 7.155
O -1.005 4.497 3.371
O -2.027 0.201 5.650
O 0.580 2.593 1.866
O -0.539 2.995 5.702
O 2.067 5.387 1.918
O 1.045 1.090 4.198
O 3.652 1.704 0.413
O 1.645 3.898 4.209
O 4.251 4.484 0.425